! Sr12Tl3F5 | the Alexandria database | PBE | relaxed; values from VASP
! * symmetry: Ia-3d
! * ΔE_f (raw): -1.487 eV per atom
! * total moment: 0.001 μB/f.u.
&SYSTEM
  ibrav = 0, nat = 80, ntyp = 3
/
ATOMIC_SPECIES
Tl 204.38 Tl.upf
F 19.00 F.upf
Sr 87.62 Sr.upf
ATOMIC_POSITIONS crystal
Tl 0.750 0.375 0.125
Tl 0.875 0.750 0.125
Tl 0.375 0.750 0.625
Tl 0.250 0.125 0.375
Tl 0.875 0.125 0.250
Tl 0.375 0.625 0.250
Tl 0.625 0.375 0.750
Tl 0.125 0.875 0.750
Tl 0.750 0.875 0.625
Tl 0.625 0.250 0.375
Tl 0.125 0.250 0.875
Tl 0.250 0.625 0.875
F 0.125 0.375 0.250
F 0.000 0.500 0.000
F 0.000 0.000 0.000
F 0.375 0.250 0.125
F 0.500 0.000 0.500
F 0.500 0.500 0.000
F 0.125 0.750 0.375
F 0.750 0.125 0.875
F 0.750 0.625 0.375
F 0.375 0.125 0.750
F 0.625 0.875 0.250
F 0.500 0.500 0.500
F 0.500 0.000 0.000
F 0.000 0.000 0.500
F 0.250 0.375 0.625
F 0.250 0.875 0.125
F 0.000 0.500 0.500
F 0.875 0.250 0.625
F 0.625 0.750 0.875
F 0.875 0.625 0.750
Sr 0.709 0.118 0.020
Sr 0.311 0.520 0.402
Sr 0.980 0.382 0.291
Sr 0.520 0.209 0.118
Sr 0.591 0.709 0.689
Sr 0.980 0.598 0.189
Sr 0.311 0.791 0.409
Sr 0.098 0.909 0.118
Sr 0.598 0.980 0.689
Sr 0.709 0.591 0.189
Sr 0.791 0.480 0.382
Sr 0.811 0.902 0.020
Sr 0.118 0.709 0.520
Sr 0.382 0.402 0.091
Sr 0.091 0.902 0.382
Sr 0.409 0.118 0.598
Sr 0.091 0.189 0.209
Sr 0.480 0.689 0.098
Sr 0.811 0.909 0.291
Sr 0.118 0.409 0.098
Sr 0.382 0.980 0.791
Sr 0.598 0.618 0.409
Sr 0.902 0.811 0.520
Sr 0.791 0.311 0.909
Sr 0.402 0.382 0.591
Sr 0.098 0.189 0.480
Sr 0.209 0.689 0.091
Sr 0.189 0.091 0.709
Sr 0.618 0.020 0.209
Sr 0.882 0.591 0.902
Sr 0.520 0.311 0.902
Sr 0.591 0.882 0.402
Sr 0.909 0.811 0.791
Sr 0.909 0.098 0.618
Sr 0.882 0.291 0.480
Sr 0.189 0.098 0.980
Sr 0.618 0.598 0.909
Sr 0.402 0.020 0.311
Sr 0.291 0.409 0.811
Sr 0.209 0.520 0.618
Sr 0.902 0.091 0.882
Sr 0.689 0.209 0.591
Sr 0.480 0.791 0.882
Sr 0.020 0.402 0.811
Sr 0.409 0.291 0.311
Sr 0.020 0.618 0.709
Sr 0.689 0.480 0.598
Sr 0.291 0.882 0.980
CELL_PARAMETERS angstrom
-2.153 12.498 -8.368
-11.666 -1.757 9.574
12.892 1.369 7.923

! PrHgBrO | the Alexandria database | PBE | relaxed; values from VASP
! * symmetry: P4/nmm
! * ΔE_f (raw): -2.080 eV per atom
! * total moment: 0.000 μB/f.u.
&SYSTEM
  ibrav = 0, nat = 8, ntyp = 4
/
ATOMIC_SPECIES
Pr 140.91 Pr.upf
Hg 200.59 Hg.upf
Br 79.90 Br.upf
O 16.00 O.upf
ATOMIC_POSITIONS crystal
Pr 0.750 0.750 0.911
Pr 0.250 0.250 0.089
Hg 0.250 0.750 0.500
Hg 0.750 0.250 0.500
Br 0.750 0.750 0.211
Br 0.250 0.250 0.789
O 0.750 0.250 0.000
O 0.250 0.750 0.000
CELL_PARAMETERS angstrom
4.099 0.000 0.000
0.000 4.099 0.000
0.000 0.000 13.464

! Be2NiBMo | the Alexandria database | PBE | relaxed; values from VASP
! * DFT formation energy: -0.39 eV/atom
! * symmetry: Imm2
! * total moment: 0.000 μB/f.u.
&SYSTEM
  ibrav = 0, nat = 5, ntyp = 4
/
ATOMIC_SPECIES
Be 9.01 Be.upf
Ni 58.69 Ni.upf
B 10.81 B.upf
Mo 95.94 Mo.upf
ATOMIC_POSITIONS crystal
Be 0.704 0.204 0.408
Be 0.043 0.043 0.085
Ni 0.194 0.694 0.388
B 0.840 0.840 0.679
Mo 0.432 0.432 0.864
CELL_PARAMETERS angstrom
-1.023 -1.154 -2.714
3.045 -0.473 -0.946
-1.100 -3.430 3.667

! MgCrAu4 | the Alexandria database | PBE | relaxed; values from VASP
! * DFT formation energy: 0.01 eV/atom
! * symmetry: F-43m
! * total moment: 4.614 μB/f.u.
&SYSTEM
  ibrav = 0, nat = 6, ntyp = 3
/
ATOMIC_SPECIES
Mg 24.30 Mg.upf
Cr 52.00 Cr.upf
Au 196.97 Au.upf
ATOMIC_POSITIONS crystal
Mg 0.000 0.000 0.000
Cr 0.750 0.750 0.750
Au 0.375 0.875 0.375
Au 0.875 0.375 0.375
Au 0.375 0.375 0.875
Au 0.375 0.375 0.375
CELL_PARAMETERS angstrom
3.650 -2.492 3.259
-1.496 -4.382 2.952
1.907 -4.978 -1.316

! SnHgSe | the Alexandria database | PBE | relaxed; values from VASP
! * symmetry: C2/m
! * distance to the lowest polymorph of the same formula: 0 meV per atom
! * ΔE_f (raw): -0.266 eV per atom
! * total moment: 0.000 μB/f.u.
&SYSTEM
  ibrav = 0, nat = 6, ntyp = 3
/
ATOMIC_SPECIES
Sn 118.71 Sn.upf
Hg 200.59 Hg.upf
Se 78.96 Se.upf
ATOMIC_POSITIONS crystal
Sn 0.752 0.752 0.658
Sn 0.248 0.248 0.342
Hg 0.000 0.500 0.000
Hg 0.500 0.000 0.000
Se 0.747 0.747 0.356
Se 0.253 0.253 0.644
CELL_PARAMETERS angstrom
4.289 -0.030 -0.024
-0.015 4.289 -0.024
-0.035 -0.034 9.197

! LiAcZnPd3 | the Alexandria database | PBE | relaxed; values from VASP
! * DFT formation energy: -0.51 eV/atom
! * symmetry: Cmcm
! * total moment: 0.000 μB/f.u.
&SYSTEM
  ibrav = 0, nat = 12, ntyp = 4
/
ATOMIC_SPECIES
Li 6.94 Li.upf
Ac 227.00 Ac.upf
Zn 65.41 Zn.upf
Pd 106.42 Pd.upf
ATOMIC_POSITIONS crystal
Li 0.250 0.936 0.872
Li 0.750 0.064 0.128
Ac 0.750 0.304 0.608
Ac 0.250 0.696 0.392
Zn 0.250 0.367 0.733
Zn 0.750 0.633 0.267
Pd 0.250 0.158 0.316
Pd 0.000 0.274 0.000
Pd 0.500 0.726 0.000
Pd 0.500 0.274 0.000
Pd 0.000 0.726 0.000
Pd 0.750 0.842 0.684
CELL_PARAMETERS angstrom
6.080 0.000 0.000
0.000 6.137 0.000
0.000 -3.068 6.204

! Si3Os2 | the Alexandria database | PBE | relaxed; values from VASP
! * symmetry: R-3m
! * ΔE_f (raw): -0.099 eV per atom
! * total moment: 0.000 μB/f.u.
&SYSTEM
  ibrav = 0, nat = 5, ntyp = 2
/
ATOMIC_SPECIES
Si 28.09 Si.upf
Os 190.23 Os.upf
ATOMIC_POSITIONS crystal
Si 0.000 0.000 0.000
Si 0.799 0.799 0.799
Si 0.201 0.201 0.201
Os 0.402 0.402 0.402
Os 0.598 0.598 0.598
CELL_PARAMETERS angstrom
9.509 -1.446 0.000
9.509 1.446 0.000
9.289 0.000 2.495

! RePbSN2 | the Alexandria database | PBE | relaxed; values from VASP
! * symmetry: P4/mmm
! * distance to the lowest polymorph of the same formula: 0 meV per atom
! * ΔE_f (raw): 0.290 eV per atom
! * total moment: 0.198 μB/f.u.
&SYSTEM
  ibrav = 0, nat = 5, ntyp = 4
/
ATOMIC_SPECIES
Pb 207.20 Pb.upf
Re 186.21 Re.upf
S 32.06 S.upf
N 14.01 N.upf
ATOMIC_POSITIONS crystal
Pb 0.500 0.500 0.500
Re 0.000 0.000 0.000
S 0.000 0.000 0.500
N 0.000 0.500 0.000
N 0.500 0.000 0.000
CELL_PARAMETERS angstrom
-0.471 -1.507 3.621
-3.492 -1.498 -1.078
2.338 -4.363 -1.512

! GaHg2I | the Alexandria database | PBE | relaxed; values from VASP
! * symmetry: P2_1/m
! * distance to the lowest polymorph of the same formula: 0 meV per atom
! * ΔE_f (raw): -0.153 eV per atom
! * total moment: 0.000 μB/f.u.
&SYSTEM
  ibrav = 0, nat = 8, ntyp = 3
/
ATOMIC_SPECIES
Ga 69.72 Ga.upf
Hg 200.59 Hg.upf
I 126.90 I.upf
ATOMIC_POSITIONS crystal
Ga 0.676 0.750 0.345
Ga 0.324 0.250 0.655
Hg 0.557 0.250 0.115
Hg 0.443 0.750 0.885
Hg 0.060 0.750 0.121
Hg 0.940 0.250 0.879
I 0.195 0.250 0.387
I 0.805 0.750 0.613
CELL_PARAMETERS angstrom
4.649 0.000 -0.012
0.000 4.685 0.000
-2.259 0.000 11.601

! Ag2SbPb2 | the Alexandria database | PBE | relaxed; values from VASP
! * symmetry: I4/mmm
! * distance to the lowest polymorph of the same formula: 75 meV per atom
! * ΔE_f (raw): 0.147 eV per atom
! * total moment: 0.000 μB/f.u.
&SYSTEM
  ibrav = 0, nat = 5, ntyp = 3
/
ATOMIC_SPECIES
Pb 207.20 Pb.upf
Sb 121.76 Sb.upf
Ag 107.87 Ag.upf
ATOMIC_POSITIONS crystal
Pb 0.396 0.396 0.207
Pb 0.604 0.604 0.793
Sb 0.000 0.000 0.000
Ag 0.750 0.250 0.500
Ag 0.250 0.750 0.500
CELL_PARAMETERS angstrom
3.958 0.000 0.000
0.000 3.958 0.000
1.979 1.979 8.571

! TbErH2 | the Alexandria database | PBE | relaxed; values from VASP
! * symmetry: R-3m
! * distance to the lowest polymorph of the same formula: 0 meV per atom
! * total moment: 0.000 μB/f.u.
&SYSTEM
  ibrav = 0, nat = 4, ntyp = 3
/
ATOMIC_SPECIES
H 1.01 H.upf
Tb 158.93 Tb.upf
Er 167.26 Er.upf
ATOMIC_POSITIONS crystal
H 0.127 0.127 0.620
H 0.873 0.873 0.380
Tb 0.000 0.000 0.000
Er 0.500 0.500 0.500
CELL_PARAMETERS angstrom
-0.287 -0.546 3.559
-0.560 -3.332 1.276
5.533 -2.140 1.952

! Ba2ClOF | the Alexandria database | PBE | relaxed; values from VASP
! * symmetry: P3m1
! * ΔE_f (raw): -2.959 eV per atom
! * total moment: 0.060 μB/f.u.
&SYSTEM
  ibrav = 0, nat = 5, ntyp = 4
/
ATOMIC_SPECIES
Ba 137.33 Ba.upf
Cl 35.45 Cl.upf
O 16.00 O.upf
F 19.00 F.upf
ATOMIC_POSITIONS crystal
Ba 0.333 0.667 0.285
Ba 0.667 0.333 0.708
Cl 0.000 0.000 0.979
O 0.667 0.333 0.381
F 0.333 0.667 0.647
CELL_PARAMETERS angstrom
4.442 0.000 0.000
-2.221 3.847 0.000
0.000 0.000 7.637